! PBE-GGA CrFeRu2, optimized geometry; values from VASP
&SYSTEM
  ibrav = 0, nat = 4, ntyp = 3
/
ATOMIC_SPECIES
Cr 52.00 Cr.upf
Fe 55.84 Fe.upf
Ru 101.07 Ru.upf
CELL_PARAMETERS angstrom
-1.451 2.086 4.271
1.451 -2.086 4.271
1.451 2.086 -4.271
ATOMIC_POSITIONS crystal
Cr 0.000 0.000 0.000
Fe 0.224 0.724 0.500
Ru 0.472 0.472 0.000
Ru 0.746 0.246 0.500
! Crystal system: orthorhombic
! Formation enthalpy at 0 K, eV per formula unit: 0.75
! DOS at the Fermi energy, states/eV per cell: 5.047
! Magnetization, μB per formula unit: 3.1
! Density, g cm⁻³: 10.0